[1]
Here is a relaxed KPb2Au crystal from Alexandria via LeMat-Bulk. Energies are from PBE.

Cell: 3.789 3.789 8.566 Å, 90.00 90.00 97.82°
Positions (direct):
Pb (0.000, 0.000, 0.061)
Pb (0.000, 0.000, 0.439)
Au (0.500, 0.500, 0.250)
K (0.500, 0.500, 0.750)

Values from the calculation:
SG: No. 65
Energy of formation: -0.11 eV/atom

---

[2]
Here is a relaxed Na2SnGe2 crystal from Alexandria via LeMat-Bulk. Energies are from PBE.

Cell: 5.864 6.005 8.646 Å, 104.66 90.00 119.22°
Positions (direct):
Na (0.508, 0.280, 0.147)
Na (0.228, 0.720, 0.353)
Na (0.772, 0.280, 0.647)
Na (0.492, 0.720, 0.853)
Sn (0.123, 0.000, 0.750)
Sn (0.877, 0.000, 0.250)
Ge (0.018, 0.306, 0.009)
Ge (0.711, 0.694, 0.491)
Ge (0.289, 0.306, 0.509)
Ge (0.982, 0.694, 0.991)

Values from the calculation:
SG: No. 15
Energy of formation: -0.08 eV/atom
Distance to the lowest polymorph of the same formula: 0 meV per atom

---

[3]
Here is a relaxed Tb3DyBi3 crystal from Alexandria via LeMat-Bulk. Energies are from PBE.

Cell: 9.413 9.413 9.413 Å, 90.00 90.00 90.00°
Positions (direct):
Dy (0.927, 0.073, 0.573)
Dy (0.427, 0.427, 0.427)
Dy (0.073, 0.573, 0.927)
Dy (0.573, 0.927, 0.073)
Bi (0.251, 0.875, 0.000)
Bi (0.249, 0.125, 0.500)
Bi (0.875, 0.000, 0.251)
Bi (0.500, 0.249, 0.125)
Bi (0.000, 0.751, 0.625)
Bi (0.125, 0.500, 0.249)
Bi (0.500, 0.749, 0.375)
Bi (0.000, 0.251, 0.875)
Bi (0.625, 0.000, 0.751)
Bi (0.749, 0.375, 0.500)
Bi (0.751, 0.625, 0.000)
Bi (0.375, 0.500, 0.749)
Tb (0.823, 0.323, 0.177)
Tb (0.323, 0.823, 0.677)
Tb (0.323, 0.177, 0.823)
Tb (0.072, 0.428, 0.572)
Tb (0.928, 0.928, 0.928)
Tb (0.677, 0.677, 0.677)
Tb (0.677, 0.323, 0.823)
Tb (0.823, 0.677, 0.323)
Tb (0.572, 0.072, 0.428)
Tb (0.177, 0.177, 0.177)
Tb (0.428, 0.572, 0.072)
Tb (0.177, 0.823, 0.323)

Values from the calculation:
SG: No. 198
Energy of formation: -0.74 eV/atom
Distance to the lowest polymorph of the same formula: 0 meV per atom

---

[4]
Here is a relaxed USiPt crystal from Alexandria via LeMat-Bulk. Energies are from PBE.

Cell: 4.276 5.557 5.557 Å, 79.22 67.37 67.37°
Site moments in Bohr magnetons follow the coordinates.
Positions (direct):
U (0.354, 0.170, 0.274)  1.87
U (0.276, 0.748, 0.853)  1.83
Si (0.973, 0.761, 0.447)  -0.03
Si (0.973, 0.343, 0.865)  -0.03
Pt (0.644, 0.169, 0.696)  -0.05
Pt (0.644, 0.591, 0.273)  -0.05

Values from the calculation:
SG: No. 44
E_form (uncorrected): -724 meV per atom

---

Size of the total moment for the records above, in order: 0.0, 0.0, 0.0, 2.0 μB per formula unit
Volume for the records above, in order: 121.8, 254.3, 834.0, 112.4 Å³ per cell